Compound: Ac2NdPa
Source: Alexandria
Functional: GGA-PBE
Structure: optimized geometry

Computed properties:
Uncorrected energy (eV/atom): -5.131
Energy relative to the elements (kcal/mol of atoms): 11.3

Cell: 3.576 3.576 39.230 Å, 90.00 90.00 120.00°
Fractional coordinates of all 12 atoms:
Ac 0.000 0.000 0.085
Ac 0.000 0.000 0.915
Ac 0.333 0.667 0.582
Ac 0.333 0.667 0.752
Ac 0.667 0.333 0.248
Ac 0.667 0.333 0.418
Nd 0.000 0.000 0.500
Nd 0.333 0.667 0.167
Nd 0.667 0.333 0.833
Pa 0.000 0.000 0.000
Pa 0.333 0.667 0.667
Pa 0.667 0.333 0.333